PrErZnPt (GGA-PBE, relaxed); final energy = -0.179 Ha/atom; energy of formation = -274 kJ/mol of formula units; ΔE to the lowest computed polymorph = 4.48 kJ/mol of atoms
1.0
5.072 0.000 0.000
2.536 4.392 0.000
2.536 1.464 4.141
Pr Zn Pt Er
1 1 1 1
Cartesian
0.000 0.000 0.000
2.536 1.464 1.035
7.607 4.392 3.106
5.072 2.928 2.070